This record from the Alexandria database describes an optimized crystal structure of CsPaH2. The functional is PBE.

Cell and atoms, written as CIF:
```
data_CsPaH2
_chemical_formula_sum 'Cs3 Pa3 H6'
_cell_length_a 3.4600
_cell_length_b 3.4600
_cell_length_c 23.6974
_cell_angle_alpha 90.00
_cell_angle_beta 90.00
_cell_angle_gamma 120.00
_symmetry_space_group_name_H-M 'R -3 m'
_symmetry_Int_Tables_number 166
_symmetry_space_group_name_Hall '-R 3 2"'
loop_
_atom_site_label
_atom_site_fract_x
_atom_site_fract_y
_atom_site_fract_z
Cs1 0.0000 0.0000 0.0000
Pa1 0.0000 0.0000 0.5000
H1 0.0000 0.0000 0.1183
```

Properties
DFT total energy, eV/cell: -48.78

=====

This record from the Alexandria database describes an optimized crystal structure of Cs2PaH4. The functional is PBE.

Cell and atoms, written as CIF:
```
data_Cs2PaH4
_chemical_formula_sum 'Cs4 Pa2 H8'
_cell_length_a 4.373
_cell_length_b 4.373
_cell_length_c 16.782
_cell_angle_alpha 90.00
_cell_angle_beta 90.00
_cell_angle_gamma 90.00
_symmetry_space_group_name_H-M 'I 4/m m m'
_symmetry_Int_Tables_number 139
_symmetry_space_group_name_Hall '-I 4 2'
loop_
_atom_site_label
_atom_site_fract_x
_atom_site_fract_y
_atom_site_fract_z
Cs1 0.000 0.000 0.159
Pa1 0.000 0.000 0.500
H1 0.000 0.000 0.363
H2 0.000 0.500 0.000
```

Properties
DFT total energy, eV/cell: -48.16

=====

What did the second record say?
This record from the Alexandria database describes an optimized crystal structure of Cs2PaH4. The functional is PBE.

Cell and atoms, written as CIF:
```
data_Cs2PaH4
_chemical_formula_sum 'Cs4 Pa2 H8'
_cell_length_a 4.373
_cell_length_b 4.373
_cell_length_c 16.782
_cell_angle_alpha 90.00
_cell_angle_beta 90.00
_cell_angle_gamma 90.00
_symmetry_space_group_name_H-M 'I 4/m m m'
_symmetry_Int_Tables_number 139
_symmetry_space_group_name_Hall '-I 4 2'
loop_
_atom_site_label
_atom_site_fract_x
_atom_site_fract_y
_atom_site_fract_z
Cs1 0.000 0.000 0.159
Pa1 0.000 0.000 0.500
H1 0.000 0.000 0.363
H2 0.000 0.500 0.000
```

Properties
DFT total energy, eV/cell: -48.16